Density functional theory data (GGA-PBEsol) for crystalline NaAlRe2F at its relaxed geometry.

Unit cell a=4.0790 b=4.0790 c=4.7388 alpha=90.00 beta=90.00 gamma=90.00
Fractional positions:
Na  0.5000  0.5000  0.5000
Re  0.5000  0.0000  0.0000
Re  0.0000  0.5000  0.0000
F  0.0000  0.0000  0.0000
Al  0.0000  0.0000  0.5000

Results
Raw formation energy = 1.1005 eV per atom
M_tot = 0.000 Bohr magnetons per cell
SG = P4/mmm (123)

Density functional theory data (GGA-PBEsol) for crystalline Nb2Al2F at its relaxed geometry.

Unit cell a=2.8716 b=7.7555 c=7.7555 alpha=90.00 beta=90.00 gamma=90.00
Fractional positions:
Al  0.0000  0.8807  0.6193
Al  0.0000  0.6193  0.1193
Al  0.0000  0.1193  0.3807
Al  0.0000  0.3807  0.8807
Nb  0.5000  0.1773  0.6773
Nb  0.5000  0.8227  0.3227
Nb  0.5000  0.3227  0.1773
Nb  0.5000  0.6773  0.8227
F  0.0000  0.5000  0.5000
F  0.0000  0.0000  0.0000

Results
Raw formation energy = 0.1304 eV per atom
M_tot = 0.000 Bohr magnetons per cell
SG = P4/mbm (127)

Density functional theory data (GGA-PBEsol) for crystalline AlNiOF2 at its relaxed geometry.

Unit cell a=3.8100 b=3.8100 c=3.8314 alpha=90.00 beta=90.00 gamma=90.00
Fractional positions:
F  0.5000  0.0000  0.0000
F  0.0000  0.5000  0.0000
Ni  0.0000  0.0000  0.0000
O  0.0000  0.0000  0.5000
Al  0.5000  0.5000  0.5000

Results
Raw formation energy = -1.0583 eV per atom
M_tot = 0.001 Bohr magnetons per cell
SG = P4/mmm (123)

Density functional theory data (GGA-PBEsol) for crystalline Al2NiOsF at its relaxed geometry.

Unit cell a=3.8556 b=4.7357 c=4.7357 alpha=90.00 beta=90.00 gamma=90.00
Fractional positions:
Al  0.0000  0.0000  0.5000
Al  0.0000  0.5000  0.0000
F  0.5000  0.0000  0.0000
Os  0.0000  0.0000  0.0000
Ni  0.5000  0.5000  0.5000

Results
Raw formation energy = 0.4362 eV per atom
M_tot = 0.002 Bohr magnetons per cell
SG = P4/mmm (123)

Density functional theory data (GGA-PBEsol) for crystalline Al2OF at its relaxed geometry.

Unit cell a=4.0984 b=4.0984 c=4.0984 alpha=60.00 beta=60.00 gamma=60.00
Fractional positions:
O  0.0000  0.0000  0.0000
Al  0.7500  0.7500  0.7500
Al  0.2500  0.2500  0.2500
F  0.5000  0.5000  0.5000

Results
Raw formation energy = -0.7587 eV per atom
M_tot = 0.000 Bohr magnetons per cell
SG = Fm-3m (225)

Density functional theory data (GGA-PBEsol) for crystalline AlOsO2F at its relaxed geometry.

Unit cell a=3.6486 b=3.6486 c=6.8716 alpha=90.00 beta=90.00 gamma=90.00
Fractional positions:
Al  0.5000  0.5000  0.5000
O  0.5000  0.0000  0.0000
O  0.0000  0.5000  0.0000
F  0.0000  0.0000  0.5000
Os  0.0000  0.0000  0.0000

Results
Raw formation energy = -0.7014 eV per atom
M_tot = 0.000 Bohr magnetons per cell
SG = P4/mmm (123)

Density functional theory data (GGA-PBEsol) for crystalline SrAl2P2O8F2 at its relaxed geometry.

Unit cell a=4.6817 b=12.0182 c=12.2089 alpha=90.00 beta=90.00 gamma=90.00
Fractional positions:
O  0.9070  0.8945  0.0956
O  0.0956  0.8952  0.8964
O  0.3712  0.1417  0.8504
O  0.9872  0.1935  0.7193
O  0.6513  0.1608  0.1439
O  0.2990  0.4516  0.0414
O  0.7010  0.9516  0.4586
O  0.1513  0.3392  0.8561
O  0.2865  0.0258  0.0471
O  0.5128  0.8065  0.2193
O  0.8487  0.8392  0.6439
O  0.5326  0.7946  0.7938
O  0.2135  0.9742  0.5471
O  0.4070  0.6055  0.9044
O  0.4044  0.1048  0.3964
O  0.0930  0.3945  0.4044
O  0.0326  0.7054  0.2062
O  0.3487  0.6608  0.3561
O  0.9044  0.3952  0.6036
O  0.5930  0.1055  0.5956
O  0.7990  0.0484  0.9586
O  0.2010  0.5484  0.5414
O  0.4872  0.3065  0.2807
O  0.1288  0.8583  0.3504
O  0.5956  0.6048  0.1036
O  0.4674  0.2946  0.7062
O  0.0128  0.6935  0.7807
O  0.7135  0.5258  0.4529
O  0.6288  0.6417  0.6496
O  0.8712  0.3583  0.1496
O  0.9674  0.2054  0.2938
O  0.7865  0.4742  0.9529
Al  0.0052  0.3564  0.9982
Al  0.9948  0.8564  0.5018
Al  0.2515  0.7499  0.8930
Al  0.7515  0.7501  0.1070
Al  0.7485  0.2499  0.6070
Al  0.5052  0.1436  0.0018
Al  0.2485  0.2501  0.3930
Al  0.4948  0.6436  0.4982
Sr  0.2475  0.4956  0.2364
Sr  0.2525  0.5044  0.7364
Sr  0.7475  0.0044  0.7636
Sr  0.7525  0.9956  0.2636
P  0.5271  0.5346  0.9995
P  0.0271  0.9654  0.0005
P  0.2536  0.7597  0.2834
P  0.9729  0.4654  0.4995
P  0.7464  0.2597  0.2166
P  0.4729  0.0346  0.5005
P  0.2464  0.2403  0.7834
P  0.7536  0.7403  0.7166
F  0.2137  0.2363  0.0390
F  0.2863  0.7637  0.5390
F  0.7137  0.2637  0.9610
F  0.0189  0.2074  0.5067
F  0.9811  0.7074  0.9933
F  0.4811  0.7926  0.0067
F  0.5189  0.2925  0.4933
F  0.7863  0.7363  0.4610

Results
Raw formation energy = -2.9484 eV per atom
M_tot = 0.001 Bohr magnetons per cell
SG = P2_12_12_1 (19)

Density functional theory data (GGA-PBEsol) for crystalline AlPdO2F at its relaxed geometry.

Unit cell a=3.9448 b=3.9448 c=4.0080 alpha=90.00 beta=90.00 gamma=90.00
Fractional positions:
Pd  0.0000  0.0000  0.0000
O  0.0000  0.5000  0.0000
O  0.5000  0.0000  0.0000
Al  0.5000  0.5000  0.5000
F  0.0000  0.0000  0.5000

Results
Raw formation energy = -0.4779 eV per atom
M_tot = 0.000 Bohr magnetons per cell
SG = P4/mmm (123)

Number 1: DOS(E_F) 4.4 states/eV per cell. Number 2: DOS(E_F) 7.0 states/eV per cell. Number 3: DOS(E_F) 3.0 states/eV per cell. Number 4: DOS(E_F) 4.0 states/eV per cell. Number 5: DOS(E_F) 2.0 states/eV per cell. Number 6: DOS(E_F) 3.0 states/eV per cell. Number 7: DOS(E_F) 0.0 states/eV per cell. Number 8: DOS(E_F) 2.1 states/eV per cell.